(1)
Material: Zr2ScTe
Method: DFT, PBE
State: relaxed

Cell: 4.9826 4.9826 4.9826 Å, 60.00 60.00 60.00°
With the nearest neighbours (Å) after each atom.
Fractional coordinates of all 4 atoms:
1 Te 0.0000 0.0000 0.0000  4 Zr 3.05, 4 Sc 3.05
2 Sc 0.2500 0.2500 0.2500  4 Zr 3.05, 4 Te 3.05
3 Zr 0.5000 0.5000 0.5000  4 Zr 3.05, 4 Sc 3.05
4 Zr 0.7500 0.7500 0.7500  4 Zr 3.05, 4 Te 3.05

Total energy: -0.499 Ry/atom
Space group: No. 216


(2)
Material: Hf2ZrAs2
Method: DFT, PBE
State: relaxed

Cell: 5.6398 5.6398 5.6398 Å, 128.09 128.09 76.48°
With the nearest neighbours (Å) after each atom.
Fractional coordinates of all 5 atoms:
1 Hf 0.6586 0.6586 0.0000  4 As 2.60, 1 Hf 2.81
2 Hf 0.3414 0.3414 0.0000  4 As 2.60, 1 Hf 2.81
3 As 0.7500 0.2500 0.5000  4 Hf 2.60
4 As 0.2500 0.7500 0.5000  4 Hf 2.60
5 Zr 0.0000 0.0000 0.0000  2 Hf 3.02, 8 As 3.32

Energy above the lowest structure with this stoichiometry: 162 meV per atom
Space group: No. 139


(3)
Material: ZnTcNiMo
Method: DFT, PBE
State: relaxed

Cell: 4.2800 4.2800 4.2800 Å, 60.00 60.00 60.00°
With the nearest neighbours (Å) after each atom.
Fractional coordinates of all 4 atoms:
1 Mo 0.5000 0.5000 0.5000  4 Tc 2.62, 4 Ni 2.62
2 Tc 0.2500 0.2500 0.2500  4 Mo 2.62, 4 Zn 2.62
3 Ni 0.7500 0.7500 0.7500  4 Mo 2.62, 4 Zn 2.62
4 Zn 0.0000 0.0000 0.0000  4 Tc 2.62, 4 Ni 2.62

Energy above the lowest structure with this stoichiometry: 0 meV per atom
Formation energy: 31 kJ/mol of formula units
Space group: No. 216


(4)
Material: LuGaFeNi
Method: DFT, PBE
State: relaxed

Cell: 4.3473 4.3473 4.3473 Å, 60.00 60.00 60.00°
With the nearest neighbours (Å) after each atom.
Fractional coordinates of all 4 atoms:
1 Lu 0.5000 0.5000 0.5000  4 Fe 2.66, 4 Ni 2.66
2 Ga 0.0000 0.0000 0.0000  4 Ni 2.66, 4 Fe 2.66
3 Fe 0.7500 0.7500 0.7500  4 Lu 2.66, 4 Ga 2.66
4 Ni 0.2500 0.2500 0.2500  4 Ga 2.66, 4 Lu 2.66

Energy above the lowest structure with this stoichiometry: 0 meV per atom
Space group: No. 216


(5)
Material: Er2CuSi
Method: DFT, PBE
State: relaxed

Cell: 5.6059 3.8670 7.7866 Å, 90.00 92.52 90.00°
With the nearest neighbours (Å) after each atom.
Fractional coordinates of all 8 atoms:
1 Cu 0.8728 0.2500 0.5366  2 Cu 2.48
2 Cu 0.1272 0.7500 0.4634  2 Cu 2.48
3 Si 0.6307 0.2500 0.0374  2 Si 2.48
4 Si 0.3693 0.7500 0.9626  2 Si 2.48
5 Er 0.3720 0.2500 0.6745  4 Cu 2.85-3.05, 3 Si 2.96-3.12
6 Er 0.1315 0.2500 0.1828  3 Cu 2.92-3.17, 4 Si 2.94-3.06
7 Er 0.6280 0.7500 0.3255  4 Cu 2.85-3.05, 3 Si 2.96-3.12
8 Er 0.8685 0.7500 0.8172  3 Cu 2.92-3.17, 4 Si 2.94-3.06

Total energy: -0.374 Ry/atom
Space group: No. 11


(6)
Material: SrErCuTeSe2
Method: DFT, PBE
State: relaxed

Cell: 7.4188 7.4188 10.9637 Å, 90.00 90.00 147.90°
With the nearest neighbours (Å) after each atom.
Fractional coordinates of all 12 atoms:
1 Te 0.9080 0.0920 0.7500  2 Cu 2.64
2 Te 0.0920 0.9080 0.2500  2 Cu 2.64
3 Er 0.0000 0.0000 0.5000  4 Se 2.86, 2 Te 3.04
4 Er 0.0000 0.0000 0.0000  4 Se 2.86, 2 Te 3.04
5 Sr 0.2242 0.7758 0.7500  4 Se 3.15, 2 Te 3.33, 2 Cu 3.50
6 Sr 0.7758 0.2242 0.2500  4 Se 3.15, 2 Te 3.33, 2 Cu 3.50
7 Se 0.6293 0.3707 0.5701  1 Cu 2.47
8 Se 0.3707 0.6293 0.4299  1 Cu 2.47
9 Se 0.6293 0.3707 0.9299  1 Cu 2.47
10 Se 0.3707 0.6293 0.0701  1 Cu 2.47
11 Cu 0.4750 0.5250 0.2500  2 Se 2.47, 2 Te 2.64
12 Cu 0.5250 0.4750 0.7500  2 Se 2.47, 2 Te 2.64

Total energy: -0.350 Ry/atom
Space group: No. 63


(7)
Material: AcTaW
Method: DFT, PBE
State: relaxed

Cell: 4.7869 4.7869 4.7869 Å, 60.00 60.00 60.00°
With the nearest neighbours (Å) after each atom.
Fractional coordinates of all 3 atoms:
1 Ta 0.5000 0.5000 0.5000  4 W 2.93
2 W 0.2500 0.2500 0.2500  4 Ac 2.93, 4 Ta 2.93
3 Ac 0.0000 0.0000 0.0000  4 W 2.93

Energy above the lowest structure with this stoichiometry: 0 meV per atom
Formation energy: 282 kJ/mol of formula units
Space group: No. 216


(8)
Material: Y4GeAuN2
Method: DFT, PBE
State: relaxed

Cell: 3.5244 3.5244 14.5167 Å, 90.00 90.00 120.00°
With the nearest neighbours (Å) after each atom.
Fractional coordinates of all 8 atoms:
1 N 0.3333 0.6667 0.7459  6 Y 2.41-2.50
2 N 0.3333 0.6667 0.2541  6 Y 2.41-2.50
3 Ge 0.6667 0.3333 0.5000  6 Y 3.06
4 Y 0.0000 0.0000 0.6575  3 N 2.41
5 Y 0.6667 0.3333 0.1544  3 N 2.50
6 Y 0.6667 0.3333 0.8456  3 N 2.50
7 Y 0.0000 0.0000 0.3425  3 N 2.41
8 Au 0.0000 0.0000 0.0000  6 Y 3.03

Total energy: -0.546 Ry/atom
Space group: No. 187


(9)
Material: HfBePt
Method: DFT, PBE
State: relaxed

Cell: 4.3061 4.3061 4.3061 Å, 60.00 60.00 60.00°
With the nearest neighbours (Å) after each atom.
Fractional coordinates of all 3 atoms:
1 Pt 0.7500 0.7500 0.7500  4 Hf 2.64
2 Hf 0.0000 0.0000 0.0000  4 Be 2.64, 4 Pt 2.64
3 Be 0.2500 0.2500 0.2500  4 Hf 2.64

Energy above the lowest structure with this stoichiometry: 937 meV per atom
Space group: No. 216


(10)
Material: MgBe2Hg
Method: DFT, PBE
State: relaxed

Cell: 4.3788 4.3788 4.3788 Å, 60.00 60.00 60.00°
With the nearest neighbours (Å) after each atom.
Fractional coordinates of all 4 atoms:
1 Be 0.2500 0.2500 0.2500  4 Be 2.68, 4 Hg 2.68
2 Be 0.0000 0.0000 0.0000  4 Be 2.68, 4 Mg 2.68
3 Hg 0.5000 0.5000 0.5000  4 Mg 2.68, 4 Be 2.68
4 Mg 0.7500 0.7500 0.7500  4 Hg 2.68, 4 Be 2.68

Total energy: -0.140 Ry/atom
Space group: No. 216


(11)
Material: ZrBeFeAs
Method: DFT, PBE
State: relaxed

Cell: 4.3313 4.3313 4.3313 Å, 60.00 60.00 60.00°
With the nearest neighbours (Å) after each atom.
Fractional coordinates of all 4 atoms:
1 Zr 0.2500 0.2500 0.2500  4 Be 2.65, 4 As 2.65
2 Fe 0.7500 0.7500 0.7500  4 As 2.65, 4 Be 2.65
3 Be 0.5000 0.5000 0.5000  4 Zr 2.65, 4 Fe 2.65
4 As 0.0000 0.0000 0.0000  4 Fe 2.65, 4 Zr 2.65

Energy above the lowest structure with this stoichiometry: 19 meV per atom
Space group: No. 216


(12)
Material: U2Fe12P7
Method: DFT, PBE
State: relaxed

Cell: 8.9587 8.9586 3.5949 Å, 90.00 90.00 120.00°
With the nearest neighbours (Å) after each atom.
Fractional coordinates of all 21 atoms:
1 Fe 0.0612 0.6193 0.5000  4 P 2.22-2.29
2 Fe 0.9308 0.3690 0.0000  4 P 2.22-2.31
3 Fe 0.5581 0.9388 0.5000  4 P 2.22-2.29
4 Fe 0.8944 0.1223 0.5000  3 P 2.23-2.44
5 Fe 0.1502 0.2746 0.0000  4 P 2.13-2.24
6 Fe 0.1243 0.8498 0.0000  4 P 2.13-2.24
7 Fe 0.4382 0.0692 0.0000  4 P 2.22-2.31
8 Fe 0.2280 0.1056 0.5000  3 P 2.23-2.44
9 Fe 0.6310 0.5618 0.0000  4 P 2.22-2.31
10 Fe 0.8777 0.7720 0.5000  3 P 2.23-2.44
11 Fe 0.7254 0.8757 0.0000  4 P 2.13-2.24
12 Fe 0.3807 0.4419 0.5000  4 P 2.22-2.29
13 P 0.0000 0.0000 0.0000  3 Fe 2.13
14 P 0.4030 0.2979 0.0000  5 Fe 2.17-2.28
15 P 0.6033 0.7086 0.5000  7 Fe 2.22-2.31
16 P 0.8950 0.5970 0.0000  5 Fe 2.17-2.28
17 P 0.1053 0.3967 0.5000  7 Fe 2.22-2.31
18 P 0.2914 0.8947 0.5000  7 Fe 2.22-2.31
19 P 0.7021 0.1051 0.0000  5 Fe 2.17-2.28
20 U 0.6667 0.3333 0.5000  6 P 2.86, 9 Fe 2.86-3.16
21 U 0.3333 0.6667 0.0000  6 P 2.88, 9 Fe 2.88-3.04

Total energy: -0.611 Ry/atom
Space group: No. 174


(13)
Material: HfTe2Pb
Method: DFT, PBE
State: relaxed

Cell: 5.3123 5.3123 5.3123 Å, 60.00 60.00 60.00°
With the nearest neighbours (Å) after each atom.
Fractional coordinates of all 4 atoms:
1 Te 0.0000 0.0000 0.0000  4 Te 3.25, 4 Pb 3.25
2 Te 0.2500 0.2500 0.2500  4 Te 3.25, 4 Hf 3.25
3 Hf 0.5000 0.5000 0.5000  4 Te 3.25, 4 Pb 3.25
4 Pb 0.7500 0.7500 0.7500  4 Hf 3.25, 4 Te 3.25

Total energy: -0.344 Ry/atom
Space group: No. 216


(14)
Material: MgBeAg2
Method: DFT, PBE
State: relaxed

Cell: 4.4559 4.4559 4.4559 Å, 60.00 60.00 60.00°
With the nearest neighbours (Å) after each atom.
Fractional coordinates of all 4 atoms:
1 Mg 0.2500 0.2500 0.2500  4 Be 2.73, 4 Ag 2.73
2 Ag 0.7500 0.7500 0.7500  4 Ag 2.73, 4 Be 2.73
3 Ag 0.0000 0.0000 0.0000  4 Ag 2.73, 4 Mg 2.73
4 Be 0.5000 0.5000 0.5000  4 Mg 2.73, 4 Ag 2.73

Total energy: -0.192 Ry/atom
Space group: No. 216


(15)
Material: Pr3Zn3NiIr2
Method: DFT, PBE
State: relaxed

Cell: 7.2819 7.2819 3.9813 Å, 90.00 90.00 120.00°
With the nearest neighbours (Å) after each atom.
Fractional coordinates of all 9 atoms:
1 Zn 0.0000 0.7674 0.5000  2 Ni 2.61, 2 Ir 2.87
2 Zn 0.7674 0.0000 0.5000  2 Ni 2.61, 2 Ir 2.87
3 Zn 0.2326 0.2326 0.5000  2 Ni 2.61, 2 Ir 2.87
4 Ir 0.3333 0.6667 0.5000  3 Zn 2.87, 6 Pr 2.97
5 Ir 0.6667 0.3333 0.5000  3 Zn 2.87, 6 Pr 2.97
6 Pr 0.0000 0.4107 0.0000  4 Ir 2.97, 1 Ni 2.99, 6 Zn 3.27
7 Pr 0.5893 0.5893 0.0000  4 Ir 2.97, 1 Ni 2.99, 6 Zn 3.27
8 Pr 0.4107 0.0000 0.0000  4 Ir 2.97, 1 Ni 2.99, 6 Zn 3.27
9 Ni 0.0000 0.0000 0.0000  6 Zn 2.61

Formation energy: -442 kJ/mol of formula units
Space group: No. 189


(16)
Material: Y2Cd3Mo4C3
Method: DFT, PBE
State: relaxed

Cell: 5.6956 5.6956 14.4899 Å, 101.81 101.81 60.22°
With the nearest neighbours (Å) after each atom.
Fractional coordinates of all 24 atoms:
1 Cd 0.0690 0.9310 0.2500  4 Cd 2.84-2.86, 4 Mo 3.07
2 Cd 0.9310 0.0690 0.7500  4 Cd 2.84-2.86, 4 Mo 3.07
3 Cd 0.0976 0.4135 0.2480  4 Cd 2.84-2.86, 4 Mo 3.04-3.05
4 Cd 0.9024 0.5865 0.7520  4 Cd 2.84-2.86, 4 Mo 3.04-3.05
5 Cd 0.5865 0.9024 0.2520  4 Cd 2.84-2.86, 4 Mo 3.04-3.05
6 Cd 0.4135 0.0976 0.7480  4 Cd 2.84-2.86, 4 Mo 3.04-3.05
7 Mo 0.6913 0.8422 0.5675  3 C 2.09-2.16
8 Mo 0.2036 0.0105 0.0677  3 C 2.09-2.16
9 Mo 0.3087 0.1578 0.4325  3 C 2.09-2.16
10 Mo 0.8422 0.6913 0.0675  3 C 2.09-2.16
11 Mo 0.0105 0.2036 0.5677  3 C 2.09-2.16
12 Mo 0.1578 0.3087 0.9325  3 C 2.09-2.16
13 Mo 0.9895 0.7964 0.4323  3 C 2.09-2.16
14 Mo 0.7964 0.9895 0.9323  3 C 2.09-2.16
15 C 0.0000 0.5000 0.5000  4 Mo 2.09
16 C 0.3293 0.8421 0.5000  4 Mo 2.09-2.16
17 C 0.5000 0.0000 0.0000  4 Mo 2.09
18 C 0.1579 0.6707 0.0000  4 Mo 2.09-2.16
19 C 0.8421 0.3293 0.0000  4 Mo 2.09-2.16
20 C 0.6707 0.1579 0.5000  4 Mo 2.09-2.16
21 Y 0.5387 0.3831 0.1126  3 C 2.48-2.52
22 Y 0.6169 0.4613 0.3874  3 C 2.48-2.52
23 Y 0.4613 0.6169 0.8874  3 C 2.48-2.52
24 Y 0.3831 0.5387 0.6126  3 C 2.48-2.52

Total energy: -0.547 Ry/atom
Space group: No. 15


(17)
Material: FeSi24Ge7
Method: DFT, PBE
State: relaxed

Cell: 6.7344 6.7352 15.5739 Å, 89.99 90.00 70.54°
With the nearest neighbours (Å) after each atom.
Fractional coordinates of all 32 atoms:
1 Fe 0.0013 0.4932 0.6261  3 Si 2.25-2.27, 1 Ge 2.31
2 Si 0.5002 0.0002 0.1261  4 Si 2.36-2.37
3 Si 0.9965 0.0040 0.7518  2 Si 2.36-2.38, 2 Ge 2.39-2.42
4 Si 0.3569 0.3795 0.6274  1 Fe 2.26, 2 Si 2.38, 1 Ge 2.43
5 Si 0.4955 0.0054 0.6262  1 Si 2.38, 3 Ge 2.39-2.44
6 Si 0.3795 0.8795 0.0008  2 Si 2.36, 2 Ge 2.40
7 Si 0.5019 0.4945 0.7491  3 Si 2.37-2.39, 1 Ge 2.40
8 Si 0.8734 0.8743 0.8739  3 Si 2.36-2.37, 1 Ge 2.41
9 Si 0.3745 0.3736 0.8731  3 Si 2.36-2.38, 1 Ge 2.42
10 Si 0.4999 0.5010 0.2498  4 Si 2.36-2.37
11 Si 0.5019 0.0018 0.8767  3 Si 2.36, 1 Ge 2.41
12 Si 0.3741 0.3735 0.3723  3 Si 2.36-2.38, 1 Ge 2.43
13 Si 0.3740 0.3733 0.1272  3 Si 2.36-2.37, 1 Ge 2.42
14 Si 0.8844 0.3840 0.5057  1 Fe 2.25, 1 Si 2.40, 2 Ge 2.42-2.43
15 Si 0.8794 0.3793 0.9996  2 Si 2.38-2.39, 2 Ge 2.41
16 Si 0.0004 0.5006 0.1261  4 Si 2.37-2.38
17 Si 0.5017 0.0017 0.3709  3 Si 2.36, 1 Ge 2.40
18 Si 0.8739 0.3738 0.2503  4 Si 2.37-2.39
19 Si 0.0000 0.5002 0.3750  4 Si 2.37-2.40
20 Si 0.8779 0.3777 0.7446  1 Fe 2.27, 3 Si 2.38-2.41
21 Si 0.3741 0.8740 0.2491  4 Si 2.36-2.37
22 Si 0.0003 0.5005 0.8725  4 Si 2.37-2.41
23 Si 0.8734 0.8740 0.1272  3 Si 2.36-2.37, 1 Ge 2.42
24 Si 0.8732 0.8737 0.3714  3 Si 2.36-2.37, 1 Ge 2.42
25 Si 0.0011 0.0000 0.2494  4 Si 2.36-2.37
26 Ge 0.9955 0.0039 0.4984  2 Si 2.42, 2 Ge 2.44-2.48
27 Ge 0.5021 0.4934 0.5011  3 Si 2.43, 1 Ge 2.44
28 Ge 0.8790 0.8572 0.6276  1 Fe 2.31, 2 Si 2.42-2.44, 1 Ge 2.48
29 Ge 0.3735 0.8727 0.7513  4 Si 2.39-2.41
30 Ge 0.4999 0.5009 0.0002  4 Si 2.40-2.42
31 Ge 0.0010 0.0000 0.0005  4 Si 2.40-2.42
32 Ge 0.3795 0.8784 0.4987  2 Si 2.39-2.40, 2 Ge 2.44

Total energy: -0.387 Ry/atom
Space group: No. 1


(18)
Material: GdHfAu6
Method: DFT, PBE
State: relaxed

Cell: 4.9486 6.1763 5.0560 Å, 90.00 90.00 90.00°
With the nearest neighbours (Å) after each atom.
Fractional coordinates of all 8 atoms:
1 Au 0.5000 0.7335 0.6640  7 Au 2.87-3.09, 2 Gd 3.01-3.03, 2 Hf 3.01
2 Au 0.0000 0.2588 0.3401  2 Hf 2.90-2.97, 8 Au 2.94-3.20, 2 Gd 3.08
3 Au 0.5000 0.2665 0.6640  7 Au 2.87-3.09, 2 Gd 3.01-3.03, 2 Hf 3.01
4 Au 0.0000 0.7412 0.3401  2 Hf 2.90-2.97, 8 Au 2.94-3.20, 2 Gd 3.08
5 Au 0.5000 0.5000 0.1548  8 Au 2.87-3.04, 2 Hf 2.92, 2 Gd 3.09
6 Au 0.0000 0.0000 0.8280  8 Au 2.94-3.09, 2 Gd 2.99, 2 Hf 3.09
7 Gd 0.5000 0.0000 0.1618  12 Au 2.99-3.09
8 Hf 0.0000 0.5000 0.8472  12 Au 2.90-3.09

Formation energy: -459 kJ/mol of formula units
Space group: No. 25


(19)
Material: HgTePdO
Method: DFT, PBE
State: relaxed

Cell: 7.4980 7.2993 5.9506 Å, 90.00 90.00 90.00°
With the nearest neighbours (Å) after each atom.
Fractional coordinates of all 16 atoms:
1 Te 0.0418 0.3186 0.6284  2 Pd 2.71-2.72, 2 Hg 2.91-2.94, 1 O 3.00
2 Te 0.5418 0.6814 0.6284  2 Pd 2.71-2.72, 2 Hg 2.91-2.94, 1 O 3.00
3 Te 0.9582 0.6814 0.1284  2 Pd 2.71-2.72, 2 Hg 2.91-2.94, 1 O 3.00
4 Te 0.4582 0.3186 0.1284  2 Pd 2.71-2.72, 2 Hg 2.91-2.94, 1 O 3.00
5 Pd 0.7507 0.9074 0.8790  2 O 2.02
6 Pd 0.2507 0.0926 0.8790  2 O 2.02
7 Pd 0.2493 0.0926 0.3790  2 O 2.02
8 Pd 0.7493 0.9074 0.3790  2 O 2.02
9 Hg 0.3460 0.7049 0.1142  1 O 2.31
10 Hg 0.8460 0.2951 0.1142  1 O 2.31
11 Hg 0.6540 0.2951 0.6142  1 O 2.31
12 Hg 0.1540 0.7049 0.6142  1 O 2.31
13 O 0.5688 0.9231 0.1284  2 Pd 2.02
14 O 0.4312 0.0769 0.6284  2 Pd 2.02
15 O 0.0688 0.0769 0.1284  2 Pd 2.02
16 O 0.9312 0.9231 0.6284  2 Pd 2.02

Energy above the lowest structure with this stoichiometry: 176 meV per atom
Space group: No. 29


(20)
Material: LiHfCuBi
Method: DFT, PBE
State: relaxed

Cell: 4.7488 4.7488 4.7488 Å, 60.00 60.00 60.00°
With the nearest neighbours (Å) after each atom.
Fractional coordinates of all 4 atoms:
1 Cu 0.7500 0.7500 0.7500  4 Bi 2.91, 4 Hf 2.91
2 Hf 0.5000 0.5000 0.5000  4 Li 2.91, 4 Cu 2.91
3 Li 0.2500 0.2500 0.2500  4 Hf 2.91, 4 Bi 2.91
4 Bi 0.0000 0.0000 0.0000  4 Cu 2.91, 4 Li 2.91

Energy above the lowest structure with this stoichiometry: 0 meV per atom
Space group: No. 216